Entry one
Pm2Nd6Tm: relaxed, PBE.

Values from the calculation:
Space-group type ... C2/c
N(E_F) ... 27.92 states/eV per cell

```
data_Pm2Nd6Tm
_cell_length_a 9.836
_cell_length_b 9.836
_cell_length_c 6.759
_cell_angle_alpha 99.99
_cell_angle_beta 99.99
_cell_angle_gamma 98.55
_space_group_name_H-M_alt 'P 1'
_space_group_IT_number 1
loop_
_space_group_symop_operation_xyz
'x,y,z'
loop_
_atom_site_label
_atom_site_type_symbol
_atom_site_fract_x
_atom_site_fract_y
_atom_site_fract_z
Pm1 Pm 0.123 0.165 0.367
Pm2 Pm 0.165 0.123 0.867
Pm3 Pm 0.835 0.877 0.133
Pm4 Pm 0.877 0.835 0.633
Nd1 Nd 0.041 0.431 0.709
Nd2 Nd 0.144 0.770 0.984
Nd3 Nd 0.230 0.856 0.516
Nd4 Nd 0.269 0.463 0.182
Nd5 Nd 0.431 0.041 0.209
Nd6 Nd 0.463 0.269 0.682
Nd7 Nd 0.537 0.731 0.318
Nd8 Nd 0.569 0.959 0.791
Nd9 Nd 0.731 0.537 0.818
Nd10 Nd 0.770 0.144 0.484
Nd11 Nd 0.856 0.230 0.016
Nd12 Nd 0.959 0.569 0.291
Tm1 Tm 0.389 0.611 0.750
Tm2 Tm 0.611 0.389 0.250
```

Entry two
Pm2Nd6Tm: relaxed, PBE.

Values from the calculation:
Space-group type ... Cmmm
N(E_F) ... 12.70 states/eV per cell

```
data_Pm2Nd6Tm
_cell_length_a 10.145
_cell_length_b 10.145
_cell_length_c 3.669
_cell_angle_alpha 90.00
_cell_angle_beta 90.00
_cell_angle_gamma 124.09
_space_group_name_H-M_alt 'P 1'
_space_group_IT_number 1
loop_
_space_group_symop_operation_xyz
'x,y,z'
loop_
_atom_site_label
_atom_site_type_symbol
_atom_site_fract_x
_atom_site_fract_y
_atom_site_fract_z
Pm1 Pm 0.175 0.825 0.000
Pm2 Pm 0.825 0.175 0.000
Nd1 Nd 0.161 0.489 0.500
Nd2 Nd 0.315 0.315 0.000
Nd3 Nd 0.489 0.161 0.500
Nd4 Nd 0.511 0.839 0.500
Nd5 Nd 0.685 0.685 0.000
Nd6 Nd 0.839 0.511 0.500
Tm1 Tm 0.000 0.000 0.500
```

Of them, entry two has the lowest stability.